Entry 1:
# RbTi2Se2

RbTi2Se2 at its PBEsol-relaxed geometry (SCAN, Alexandria).

Cell: 3.950 3.950 7.842 Å, 104.59 104.59 90.00°
Fractional positions:
Se  0.362  0.362  0.724
Se  0.638  0.638  0.276
Rb  0.000  0.000  0.000
Ti  0.250  0.750  0.500
Ti  0.750  0.250  0.500

total magnetic moment = 0.0 μB/f.u.
space group = No. 139
ΔE_f (raw) = -1073 meV/atom
crystal system = tetragonal

=====

Entry 2:
# KTaAg2Se4

KTaAg2Se4 at its PBEsol-relaxed geometry (SCAN, Alexandria).

Cell: 5.993 7.987 10.046 Å, 90.00 107.35 90.00°
Fractional positions:
K  0.812  0.250  0.371
K  0.441  0.750  0.629
Ta  0.297  0.250  0.769
Ta  0.528  0.750  0.231
Ag  0.374  0.000  0.000
Ag  0.374  0.500  0.000
Ag  0.792  0.250  0.760
Ag  0.031  0.750  0.240
Se  0.642  0.250  0.978
Se  0.664  0.750  0.022
Se  0.063  0.997  0.758
Se  0.305  0.497  0.242
Se  0.849  0.750  0.443
Se  0.305  0.003  0.242
Se  0.063  0.503  0.758
Se  0.406  0.250  0.557

total magnetic moment = 0.0 μB/f.u.
space group = No. 40
ΔE_f (raw) = -736 meV/atom
crystal system = orthorhombic

=====

Entry 3:
# Zn2InNi

Zn2InNi at its PBEsol-relaxed geometry (SCAN, Alexandria).

Cell: 2.903 4.522 5.327 Å, 114.68 105.18 91.43°
Fractional positions:
In  0.500  0.500  0.000
Ni  0.000  0.000  0.000
Zn  0.000  0.000  0.500
Zn  0.500  0.500  0.500

total magnetic moment = 0.0 μB/f.u.
formation energy from the elements = 0.41 eV per formula unit
space group = No. 12
crystal system = monoclinic

=====

Entry 4:
# Si3RhW

Si3RhW at its PBEsol-relaxed geometry (SCAN, Alexandria).

Cell: 4.609 4.609 4.609 Å, 90.00 90.00 90.00°
Each line ends with the local moment (μB).
Fractional positions:
Si  0.000  0.500  0.000  0.02
Si  0.000  0.000  0.500  0.02
Si  0.500  0.000  0.000  0.02
Rh  0.500  0.500  0.500  0.91
W  0.000  0.000  0.000  0.12

total magnetic moment = 1.1 μB/f.u.
space group = No. 221
ΔE_f (raw) = 1099 meV/atom
crystal system = cubic

=====

Entry 5:
# TiFeS2

TiFeS2 at its PBEsol-relaxed geometry (SCAN, Alexandria).

Cell: 3.223 3.223 7.627 Å, 77.80 77.80 60.00°
Each line ends with the local moment (μB).
Fractional positions:
S  0.902  0.902  0.295  0.01
S  0.098  0.098  0.705  0.01
Fe  0.000  0.000  0.000  3.05
Ti  0.500  0.500  0.500  0.15

total magnetic moment = 3.3 μB/f.u.
distance to the lowest polymorph of the same formula = 0.000 eV/atom
space group = No. 166
ΔE_f (raw) = -784 meV/atom
crystal system = trigonal

=====

Entry 6:
# BaHSe2

BaHSe2 at its PBEsol-relaxed geometry (SCAN, Alexandria).

Cell: 5.348 5.348 7.636 Å, 110.50 110.50 90.00°
Fractional positions:
H  0.500  0.500  0.000
H  0.750  0.250  0.500
Ba  0.000  0.000  0.000
Ba  0.250  0.750  0.500
Se  0.625  0.375  0.750
Se  0.125  0.375  0.750
Se  0.625  0.875  0.250
Se  0.625  0.375  0.250

total magnetic moment = 0.0 μB/f.u.
space group = No. 141
crystal system = tetragonal
E = -171.7 eV for the cell shown

=====

Entry 7:
# MgCd3Br

MgCd3Br at its PBEsol-relaxed geometry (SCAN, Alexandria).

Cell: 5.546 5.546 5.546 Å, 90.00 90.00 90.00°
Fractional positions:
Mg  0.500  0.500  0.500
Br  0.000  0.000  0.000
Cd  0.000  0.500  0.000
Cd  0.000  0.000  0.500
Cd  0.500  0.000  0.000

total magnetic moment = 0.0 μB/f.u.
space group = No. 221
ΔE_f (raw) = 566 meV/atom
crystal system = cubic

=====

Entry 8:
# MgH16I2O16

MgH16I2O16 at its PBEsol-relaxed geometry (SCAN, Alexandria).

Cell: 5.411 10.584 11.801 Å, 112.20 90.00 90.00°
Fractional positions:
Mg  0.000  0.000  0.000
Mg  0.500  0.000  0.500
H  0.414  0.367  0.385
H  0.914  0.633  0.115
H  0.586  0.633  0.615
H  0.086  0.367  0.885
H  0.621  0.522  0.327
H  0.121  0.478  0.173
H  0.379  0.478  0.673
H  0.879  0.522  0.827
H  0.826  0.249  0.110
H  0.326  0.751  0.390
H  0.174  0.751  0.890
H  0.674  0.249  0.610
H  0.729  0.189  0.971
H  0.229  0.811  0.529
H  0.271  0.811  0.029
H  0.771  0.189  0.471
H  0.223  0.222  0.148
H  0.723  0.778  0.352
H  0.777  0.778  0.852
H  0.277  0.222  0.648
H  0.457  0.136  0.079
H  0.957  0.864  0.421
H  0.543  0.864  0.921
H  0.043  0.136  0.579
H  0.837  0.886  0.161
H  0.337  0.114  0.339
H  0.163  0.114  0.839
H  0.663  0.886  0.661
H  0.853  0.050  0.234
H  0.353  0.950  0.266
H  0.147  0.950  0.766
H  0.647  0.050  0.734
I  0.961  0.379  0.376
I  0.461  0.621  0.124
I  0.039  0.621  0.624
I  0.539  0.379  0.876
O  0.032  0.365  0.219
O  0.532  0.635  0.281
O  0.968  0.635  0.781
O  0.468  0.365  0.719
O  0.274  0.306  0.393
O  0.774  0.694  0.107
O  0.726  0.694  0.607
O  0.226  0.306  0.893
O  0.816  0.217  0.350
O  0.316  0.783  0.150
O  0.184  0.783  0.650
O  0.684  0.217  0.850
O  0.637  0.454  0.369
O  0.137  0.546  0.131
O  0.363  0.546  0.631
O  0.863  0.454  0.869
O  0.903  0.435  0.556
O  0.403  0.565  0.944
O  0.097  0.565  0.444
O  0.597  0.435  0.056
O  0.757  0.165  0.046
O  0.257  0.835  0.454
O  0.243  0.835  0.954
O  0.743  0.165  0.546
O  0.280  0.128  0.099
O  0.780  0.872  0.401
O  0.720  0.872  0.901
O  0.220  0.128  0.599
O  0.898  0.972  0.158
O  0.398  0.028  0.342
O  0.102  0.028  0.842
O  0.602  0.972  0.658

total magnetic moment = 0.0 μB/f.u.
space group = No. 14
crystal system = monoclinic
E = -534.1 eV for the cell shown

=====

Entry 9:
# BaMoCl2

BaMoCl2 at its PBEsol-relaxed geometry (SCAN, Alexandria).

Cell: 3.268 3.268 9.697 Å, 80.30 80.30 60.01°
Each line ends with the local moment (μB).
Fractional positions:
Mo  0.500  0.500  0.500  -0.06
Ba  0.000  0.000  0.000  -0.40
Cl  0.891  0.891  0.328  0.00
Cl  0.109  0.109  0.672  0.00

total magnetic moment = 0.9 μB/f.u.
distance to the lowest polymorph of the same formula = 0.500 eV/atom
space group = No. 166
ΔE_f (raw) = -126 meV/atom
crystal system = trigonal

=====

Entry 10:
# Sc2IrRh

Sc2IrRh at its PBEsol-relaxed geometry (SCAN, Alexandria).

Cell: 2.989 4.252 5.304 Å, 90.00 90.00 90.00°
Fractional positions:
Ir  0.000  0.000  0.450
Rh  0.500  0.500  0.798
Sc  0.000  0.000  0.950
Sc  0.500  0.500  0.303

total magnetic moment = 0.0 μB/f.u.
formation energy from the elements = -3.26 eV per formula unit
distance to the lowest polymorph of the same formula = 0.409 eV/atom
space group = No. 25
crystal system = orthorhombic

=====

Entry 11:
# Sr2TlP2

Sr2TlP2 at its PBEsol-relaxed geometry (SCAN, Alexandria).

Cell: 4.269 7.711 7.711 Å, 90.00 90.00 90.00°
Fractional positions:
Sr  0.500  0.182  0.682
Sr  0.500  0.682  0.818
Sr  0.500  0.818  0.318
Sr  0.500  0.318  0.182
Tl  0.000  0.000  0.000
Tl  0.000  0.500  0.500
P  0.000  0.397  0.897
P  0.000  0.897  0.603
P  0.000  0.603  0.103
P  0.000  0.103  0.397

total magnetic moment = 0.0 μB/f.u.
formation energy from the elements = -4.60 eV per formula unit
space group = No. 127
crystal system = tetragonal

=====

Entry 12:
# Co2Mo

Co2Mo at its PBEsol-relaxed geometry (SCAN, Alexandria).

Cell: 2.585 4.076 6.726 Å, 90.00 101.08 90.00°
Each line ends with the local moment (μB).
Fractional positions:
Mo  0.389  0.750  0.777  -0.34
Mo  0.611  0.250  0.223  -0.34
Co  0.721  0.750  0.443  1.18
Co  0.943  0.250  0.887  0.44
Co  0.057  0.750  0.113  0.44
Co  0.279  0.250  0.557  1.18

total magnetic moment = 1.3 μB/f.u.
formation energy from the elements = 0.63 eV per formula unit
space group = No. 63
crystal system = orthorhombic